No. 1
The following is a DFT calculation (PBE-GGA) of crystalline LaRh at its relaxed geometry.

Cell: 4.507 4.507 4.507 Å, 60.00 60.00 60.00°
Sites, in units of the cell vectors:
Rh1 0.750 0.750 0.750
La1 0.000 0.000 0.000

Results
**V**: 32.4 Å³ per atom
**VASP energy**: -6.284 eV per atom
**ΔE_f**: -0.145 eV/atom
**Size of the total moment**: 0.00 Bohr magnetons per cell
**Calculated density**: 6.2 g/cm³

=====

No. 2
The following is a DFT calculation (PBE-GGA) of crystalline Tb3ErTl4 at its relaxed geometry.

Cell: 6.545 6.501 10.690 Å, 90.00 90.00 90.00°
Sites, in units of the cell vectors:
Tl1 0.064 0.247 0.753
Tb1 0.564 0.254 0.751
Er1 0.386 0.553 0.500
Tl2 0.753 0.013 0.500
Tl3 0.876 0.511 0.500
Er2 0.886 0.447 0.000
Tl4 0.564 0.753 0.747
Tl5 0.253 0.987 0.000
Tb2 0.744 0.945 0.000
Tl6 0.064 0.247 0.247
Tb3 0.244 0.055 0.500
Tb4 0.064 0.746 0.749
Tl7 0.564 0.753 0.253
Tb5 0.564 0.254 0.249
Tl8 0.376 0.489 0.000
Tb6 0.064 0.746 0.251

Results
**V**: 28.4 Å³ per atom
**VASP energy**: -3.707 eV per atom
**ΔE_f**: -0.218 eV/atom
**Size of the total moment**: 0.00 Bohr magnetons per cell
**Calculated density**: 10.7 g/cm³
**Offset from the most stable computed form**: 0.130 eV/atom

=====

No. 3
The following is a DFT calculation (PBE-GGA) of crystalline HoThCu at its relaxed geometry.

Cell: 3.509 3.509 6.626 Å, 105.35 105.35 90.00°
Sites, in units of the cell vectors:
Ho1 0.024 0.024 0.048
Th1 0.315 0.315 0.631
Cu1 0.661 0.661 0.321

Results
**V**: 25.2 Å³ per atom
**VASP energy**: -5.432 eV per atom
**ΔE_f**: -0.067 eV/atom
**Size of the total moment**: 0.00 Bohr magnetons per cell
**Calculated density**: 10.1 g/cm³
**Offset from the most stable computed form**: 0.000 eV/atom

=====

No. 4
The following is a DFT calculation (PBE-GGA) of crystalline KSc2ZnB at its relaxed geometry.

Cell: 4.685 5.801 4.685 Å, 90.00 90.00 90.00°
Sites, in units of the cell vectors:
K1 0.000 0.500 0.000
Sc1 0.500 0.000 0.000
Sc2 0.000 0.000 0.500
B1 0.000 0.000 0.000
Zn1 0.500 0.500 0.500

Results
**V**: 25.5 Å³ per atom
**VASP energy**: -3.913 eV per atom
**ΔE_f**: 0.429 eV/atom
**Size of the total moment**: 0.00 Bohr magnetons per cell
**Calculated density**: 2.7 g/cm³

=====

Among the records above, which one has the highest V?
LaRh

=====

Which value of size of the total moment does entry 4 give?
0.00 Bohr magnetons per cell

=====

Which value of ΔE_f does entry 3 give?
-0.067 eV/atom

=====

Which of these has the highest VASP energy?
Tb3ErTl4